# 1
First-principles (PBE) data for crystalline K3LiTi7O16 at its relaxed geometry, as listed in Alexandria.

Structure (POSCAR):
```
K3LiTi7O16
1.0
7.111 0.013 0.036
-3.008 6.445 0.027
-0.982 -1.559 7.991
K Li Ti O
3 1 7 16
Direct
0.696 0.300 0.041
0.360 0.624 0.995
0.023 0.962 0.993
0.536 0.143 0.365
0.783 0.906 0.362
0.725 0.578 0.628
0.971 0.332 0.628
0.480 0.841 0.629
0.047 0.654 0.382
0.299 0.389 0.362
0.233 0.087 0.629
0.887 0.736 0.237
0.968 0.822 0.582
0.651 0.975 0.208
0.817 0.424 0.448
0.557 0.665 0.435
0.304 0.911 0.448
0.877 0.485 0.776
0.636 0.743 0.770
0.455 0.329 0.569
0.130 0.493 0.237
0.721 0.063 0.569
0.370 0.258 0.208
0.215 0.575 0.582
0.395 0.002 0.776
0.059 0.163 0.435
0.135 0.243 0.770
```

**ΔE_f (raw)**: -65.47 kcal/mol of atoms
**Total moment**: 0.0 μB per cell

# 2
First-principles (PBE) data for crystalline K2Li2TlO4 at its relaxed geometry, as listed in Alexandria.

Structure (POSCAR):
```
K2Li2TlO4
1.0
3.477 0.000 0.000
-1.739 6.199 -0.023
0.000 -2.175 5.971
K Li Tl O
2 2 1 4
Direct
0.863 0.725 0.447
0.137 0.275 0.553
0.319 0.637 0.004
0.681 0.363 0.996
0.000 0.000 0.000
0.805 0.610 0.852
0.195 0.390 0.148
0.477 0.954 0.225
0.523 0.046 0.775
```

**ΔE_f (raw)**: -28.09 kcal/mol of atoms
**Total moment**: 1.0 μB per cell

# 3
First-principles (PBE) data for crystalline KLiTlO3 at its relaxed geometry, as listed in Alexandria.

Structure (POSCAR):
```
KLiTlO3
1.0
3.527 0.000 0.000
0.000 7.511 -0.158
0.000 -2.132 7.306
K Li Tl O
2 2 2 6
Direct
0.250 0.208 0.240
0.750 0.792 0.760
0.250 0.087 0.588
0.750 0.913 0.412
0.250 0.674 0.155
0.750 0.326 0.845
0.750 0.873 0.149
0.250 0.127 0.851
0.250 0.821 0.450
0.750 0.179 0.550
0.750 0.461 0.146
0.250 0.539 0.854
```

**ΔE_f (raw)**: -23.27 kcal/mol of atoms
**Total moment**: 2.0 μB per cell

# 4
First-principles (PBE) data for crystalline KLiTm2O4 at its relaxed geometry, as listed in Alexandria.

Structure (POSCAR):
```
KLiTm2O4
1.0
3.402 0.000 0.000
-1.701 5.685 0.000
0.000 0.000 11.494
K Li Tm O
2 2 4 8
Direct
0.099 0.197 0.750
0.901 0.803 0.250
0.820 0.641 0.750
0.180 0.359 0.250
0.366 0.731 0.559
0.634 0.269 0.059
0.634 0.269 0.441
0.366 0.731 0.941
0.252 0.505 0.100
0.748 0.495 0.600
0.748 0.495 0.900
0.252 0.505 0.400
0.000 0.000 0.500
0.000 0.000 0.000
0.405 0.810 0.750
0.595 0.190 0.250
```

**ΔE_f (raw)**: -67.01 kcal/mol of atoms
**Total moment**: 0.0 μB per cell